(1)
DFT (PBE) results for a relaxed structure of TaNiAg2.

It has space group C2/m (No. 12), with a = 9.761 Å, b = 2.828 Å, c = 4.717 Å, α = 90.00°, β = 101.05° and γ = 90.00°. The inequivalent atoms are Ta at (0.000, 0.000, 0.000), Ni at (0.000, 0.500, 0.500) and Ag at (0.242, 0.000, 0.744).

For the energy relative to the elements, the calculation gives 0.235 eV per atom. The polymorph energy (0 for the lowest one) is 141 meV/atom.

(2)
DFT (PBE) results for a relaxed structure of Ta2Ni2Ag.

It has space group P4/mbm (No. 127), with a = 7.159 Å, b = 7.159 Å, c = 2.958 Å, α = 90.00°, β = 90.00° and γ = 90.00°. The inequivalent atoms are Ta at (0.171, 0.329, 0.000), Ni at (0.124, 0.624, 0.500) and Ag at (0.000, 0.000, 0.500).

For the energy relative to the elements, the calculation gives -0.041 eV per atom. The polymorph energy (0 for the lowest one) is 0 meV/atom.

(3)
DFT (PBE) results for a relaxed structure of Ta2NiAg.

It has space group Fm-3m (No. 225), with a = 6.398 Å, b = 6.398 Å, c = 6.398 Å, α = 90.00°, β = 90.00° and γ = 90.00°. The inequivalent atoms are Ta at (0.250, 0.250, 0.250), Ni at (0.000, 0.000, 0.000) and Ag at (0.000, 0.000, 0.500).

For the energy relative to the elements, the calculation gives 0.378 eV per atom. The polymorph energy (0 for the lowest one) is 317 meV/atom.

Here are the calculated spin magnetization numbers, same order: 0.00, 0.00, 0.75 (μB/f.u.).